8
Lattice="4.807 -4.111 0.000 4.807 4.111 0.000 -1.163 0.000 4.350" Properties=species:S:1:pos:R:3 comment="CuHgS2 PBE relaxed" e_tot_ev_per_fu=-12.445 dos_at_fermi_per_ev_cell=0.19 pbc="T T T"
Cu 3.935 3.113 3.263
Cu 4.517 -3.113 1.088
Hg 4.517 0.916 1.088
Hg 3.935 -0.916 3.263
S 1.164 1.378 2.658
S 1.746 -1.378 0.482
S 6.706 1.378 3.868
S 7.287 -1.378 1.693

***

12
Lattice="5.463 0.000 0.000 -0.002 5.465 0.000 -2.727 -2.721 10.597" Properties=species:S:1:pos:R:3 comment="CuHgS4 PBE relaxed" e_tot_ev_per_fu=-20.786 dos_at_fermi_per_ev_cell=7.13 pbc="T T T"
Cu -0.002 1.368 2.656
Cu 2.736 1.375 7.941
Hg 0.005 -1.357 7.950
Hg 2.729 4.100 2.648
S -0.588 3.246 3.804
S -0.852 1.961 9.097
S 0.586 -0.510 3.804
S 1.875 1.952 1.500
S 0.859 0.791 9.097
S 2.148 3.254 6.793
S 3.586 0.782 1.500
S 3.322 -0.502 6.793

***

8
Lattice="1.673 -12.024 0.000 1.673 12.024 0.000 0.000 0.000 3.902" Properties=species:S:1:pos:R:3 comment="CuHgS2 PBE relaxed" e_tot_ev_per_fu=-11.903 dos_at_fermi_per_ev_cell=3.85 pbc="T T T"
Cu 1.673 7.436 2.927
Cu 1.673 -7.436 0.976
Hg 1.673 1.092 2.927
Hg 1.673 -1.092 0.976
S 1.673 5.161 2.927
S 1.673 2.877 0.976
S 1.673 -2.877 2.927
S 1.673 -5.161 0.976

***

4
Lattice="1.858 1.072 5.885 -1.858 1.072 5.885 0.000 -2.145 5.885" Properties=species:S:1:pos:R:3 comment="Cu2HgS PBE relaxed" e_above_lowest_polymorph_mev_per_atom=117.4 dos_at_fermi_per_ev_cell=0.58 pbc="T T T"
Cu 0.000 0.000 3.930
Cu 0.000 0.000 13.724
Hg 0.000 0.000 0.000
S 0.000 0.000 8.827

***

20
Lattice="8.012 0.000 0.000 0.000 8.396 0.000 0.000 0.000 7.733" Properties=species:S:1:pos:R:3 comment="CuHg5S4 PBE relaxed" e_tot_ev_per_fu=-21.470 dos_at_fermi_per_ev_cell=9.59 pbc="T T T"
Cu 2.003 2.099 1.035
Cu 6.009 6.297 6.698
Hg 0.627 4.331 5.983
Hg 0.627 8.263 5.983
Hg 2.003 6.297 2.283
Hg 3.380 4.331 5.983
Hg 3.380 8.263 5.983
Hg 4.633 0.133 1.750
Hg 4.633 4.065 1.750
Hg 6.009 2.099 5.451
Hg 7.386 0.133 1.750
Hg 7.386 4.065 1.750
S 0.057 2.099 7.635
S 2.003 0.309 2.687
S 2.003 3.889 2.687
S 3.949 2.099 7.635
S 4.064 6.297 0.098
S 6.009 4.507 5.047
S 6.009 8.087 5.047
S 7.955 6.297 0.098

***

16
Lattice="6.765 0.000 0.000 0.000 7.882 0.000 0.000 0.000 6.551" Properties=species:S:1:pos:R:3 comment="CuHgS2 PBE relaxed" e_tot_ev_per_fu=-13.131 dos_at_fermi_per_ev_cell=11.91 pbc="T T T"
Cu 0.496 0.986 0.000
Cu 2.886 4.927 3.275
Cu 3.879 2.956 0.000
Cu 6.268 6.897 3.275
Hg 0.594 4.923 6.517
Hg 2.788 0.982 3.241
Hg 3.977 6.901 6.517
Hg 6.171 2.960 3.241
S 0.420 0.820 4.290
S 0.717 5.089 3.956
S 2.665 1.148 0.681
S 2.962 4.761 1.015
S 3.803 3.121 4.290
S 4.099 6.734 3.956
S 6.048 2.793 0.681
S 6.345 7.063 1.015

***

Copy entry 5 word for word.
20
Lattice="8.012 0.000 0.000 0.000 8.396 0.000 0.000 0.000 7.733" Properties=species:S:1:pos:R:3 comment="CuHg5S4 PBE relaxed" e_tot_ev_per_fu=-21.470 dos_at_fermi_per_ev_cell=9.59 pbc="T T T"
Cu 2.003 2.099 1.035
Cu 6.009 6.297 6.698
Hg 0.627 4.331 5.983
Hg 0.627 8.263 5.983
Hg 2.003 6.297 2.283
Hg 3.380 4.331 5.983
Hg 3.380 8.263 5.983
Hg 4.633 0.133 1.750
Hg 4.633 4.065 1.750
Hg 6.009 2.099 5.451
Hg 7.386 0.133 1.750
Hg 7.386 4.065 1.750
S 0.057 2.099 7.635
S 2.003 0.309 2.687
S 2.003 3.889 2.687
S 3.949 2.099 7.635
S 4.064 6.297 0.098
S 6.009 4.507 5.047
S 6.009 8.087 5.047
S 7.955 6.297 0.098